1.
Entry from Alexandria: a geometry-optimized NdYGe structure (PBE).

## Properties
**V**: 77.14 Å³/f.u.
**Excess energy over the best structure of this formula in the dataset**: 174 meV per atom
**Total magnetization**: 0.0 Bohr magnetons per cell
**Calculated formation energy**: -39.7 kJ per mole of atoms

Cell lengths 5.680, 5.680, 5.680 Å; angles 139.32, 139.32, 58.89 degrees
Sites, in units of the cell vectors:
Nd  0.000  0.000  0.000
Y  0.297  0.297  0.000
Ge  0.662  0.662  0.000

---

2.
Entry from Alexandria: a geometry-optimized NdYGe structure (PBE).

## Properties
**V**: 85.06 Å³/f.u.
**Excess energy over the best structure of this formula in the dataset**: 166 meV per atom
**Total magnetization**: 0.0 Bohr magnetons per cell
**Calculated formation energy**: -40.4 kJ per mole of atoms

Cell lengths 4.769, 4.769, 4.319 Å; angles 90.00, 90.00, 120.00 degrees
Sites, in units of the cell vectors:
Nd  0.000  0.000  0.000
Y  0.333  0.667  0.476
Ge  0.667  0.333  0.631

---

3.
Entry from Alexandria: a geometry-optimized Nd2YZn2Ge2 structure (PBE).

## Properties
**V**: 172.57 Å³/f.u.
**Total magnetization**: 0.9 Bohr magnetons per cell
**Calculated formation energy**: -46.7 kJ per mole of atoms

Cell lengths 11.675, 11.675, 11.675 Å; angles 20.61, 20.61, 20.61 degrees
Sites, in units of the cell vectors:
Nd  0.121  0.121  0.121
Nd  0.879  0.879  0.879
Y  0.000  0.000  0.000
Zn  0.395  0.395  0.395
Zn  0.605  0.605  0.605
Ge  0.276  0.276  0.276
Ge  0.724  0.724  0.724

---

4.
Entry from Alexandria: a geometry-optimized NdZnGe structure (PBE).

## Properties
**V**: 66.15 Å³/f.u.
**Total magnetization**: 0.0 Bohr magnetons per cell
**Calculated formation energy**: -66.7 kJ per mole of atoms

Cell lengths 4.295, 4.295, 16.562 Å; angles 90.00, 90.00, 120.00 degrees
Sites, in units of the cell vectors:
Nd  0.000  0.000  0.000
Nd  0.000  0.000  0.250
Nd  0.000  0.000  0.500
Nd  0.000  0.000  0.750
Zn  0.333  0.667  0.141
Zn  0.333  0.667  0.359
Zn  0.667  0.333  0.641
Zn  0.667  0.333  0.859
Ge  0.333  0.667  0.616
Ge  0.333  0.667  0.884
Ge  0.667  0.333  0.116
Ge  0.667  0.333  0.384

---

5.
Entry from Alexandria: a geometry-optimized NdZn6Ge2 structure (PBE).

## Properties
**V**: 158.25 Å³/f.u.
**Total magnetization**: 0.0 Bohr magnetons per cell
**Calculated formation energy**: -19.4 kJ per mole of atoms

Cell lengths 4.082, 4.082, 9.497 Å; angles 90.00, 90.00, 90.00 degrees
Sites, in units of the cell vectors:
Nd  0.000  0.000  0.000
Zn  0.000  0.000  0.500
Zn  0.000  0.500  0.308
Zn  0.000  0.500  0.692
Zn  0.500  0.000  0.308
Zn  0.500  0.000  0.692
Zn  0.500  0.500  0.500
Ge  0.500  0.500  0.137
Ge  0.500  0.500  0.863

---

6.
Entry from Alexandria: a geometry-optimized NdZnGe4 structure (PBE).

## Properties
**V**: 124.11 Å³/f.u.
**Total magnetization**: 0.0 Bohr magnetons per cell
**Calculated formation energy**: -15.8 kJ per mole of atoms

Cell lengths 5.599, 5.599, 5.599 Å; angles 60.00, 60.00, 60.00 degrees
Sites, in units of the cell vectors:
Nd  0.000  0.000  0.000
Zn  0.750  0.750  0.750
Ge  0.375  0.375  0.375
Ge  0.375  0.375  0.874
Ge  0.375  0.874  0.375
Ge  0.874  0.375  0.375

---

7.
Entry from Alexandria: a geometry-optimized NdZnGe2 structure (PBE).

## Properties
**V**: 88.33 Å³/f.u.
**Total magnetization**: 0.0 Bohr magnetons per cell
**Calculated formation energy**: -18.8 kJ per mole of atoms

Cell lengths 4.758, 4.758, 4.758 Å; angles 67.47, 67.47, 67.47 degrees
Sites, in units of the cell vectors:
Nd  0.000  0.000  0.000
Zn  0.500  0.500  0.500
Ge  0.271  0.271  0.271
Ge  0.729  0.729  0.729

---

8.
Entry from Alexandria: a geometry-optimized Nd4ZnGe structure (PBE).

## Properties
**V**: 174.63 Å³/f.u.
**Total magnetization**: 0.0 Bohr magnetons per cell
**Calculated formation energy**: -32.6 kJ per mole of atoms

Cell lengths 9.959, 9.959, 9.959 Å; angles 60.00, 60.00, 60.00 degrees
Sites, in units of the cell vectors:
Nd  0.186  0.186  0.814
Nd  0.186  0.814  0.186
Nd  0.186  0.814  0.814
Nd  0.385  0.385  0.385
Nd  0.385  0.385  0.844
Nd  0.385  0.844  0.385
Nd  0.561  0.561  0.939
Nd  0.561  0.939  0.561
Nd  0.561  0.939  0.939
Nd  0.814  0.186  0.186
Nd  0.814  0.186  0.814
Nd  0.814  0.814  0.186
Nd  0.844  0.385  0.385
Nd  0.939  0.561  0.561
Nd  0.939  0.561  0.939
Nd  0.939  0.939  0.561
Zn  0.169  0.169  0.169
Zn  0.169  0.169  0.493
Zn  0.169  0.493  0.169
Zn  0.493  0.169  0.169
Ge  0.192  0.603  0.603
Ge  0.603  0.192  0.603
Ge  0.603  0.603  0.192
Ge  0.603  0.603  0.603

---

9.
Entry from Alexandria: a geometry-optimized NdZn11Ge structure (PBE).

## Properties
**V**: 214.56 Å³/f.u.
**Total magnetization**: 0.0 Bohr magnetons per cell
**Calculated formation energy**: -13.0 kJ per mole of atoms

Cell lengths 6.935, 6.935, 6.795 Å; angles 98.27, 98.27, 134.91 degrees
Sites, in units of the cell vectors:
Nd  0.000  0.000  0.000
Zn  0.000  0.500  0.000
Zn  0.005  0.367  0.353
Zn  0.294  0.513  0.787
Zn  0.367  0.005  0.353
Zn  0.487  0.706  0.213
Zn  0.500  0.000  0.000
Zn  0.500  0.500  0.500
Zn  0.513  0.294  0.787
Zn  0.633  0.995  0.647
Zn  0.706  0.487  0.213
Zn  0.995  0.633  0.647
Ge  0.000  0.000  0.500

---

10.
Entry from Alexandria: a geometry-optimized NdZn3Ge3 structure (PBE).

## Properties
**V**: 160.35 Å³/f.u.
**Total magnetization**: 0.0 Bohr magnetons per cell
**Calculated formation energy**: 9.9 kJ per mole of atoms

Cell lengths 6.845, 6.845, 6.845 Å; angles 90.00, 90.00, 90.00 degrees
Sites, in units of the cell vectors:
Nd  0.000  0.000  0.000
Nd  0.500  0.500  0.500
Zn  0.000  0.250  0.500
Zn  0.000  0.750  0.500
Zn  0.250  0.500  0.000
Zn  0.500  0.000  0.250
Zn  0.500  0.000  0.750
Zn  0.750  0.500  0.000
Ge  0.000  0.500  0.250
Ge  0.000  0.500  0.750
Ge  0.250  0.000  0.500
Ge  0.500  0.250  0.000
Ge  0.500  0.750  0.000
Ge  0.750  0.000  0.500